[1]
Material: La3CePr4
Method: DFT, PBE
State: relaxed

## Properties
DOS(E_F)   1.8610 states/eV per atom
Formation enthalpy at 0 K   4.59 kcal/mol of atoms
Electronic total energy   -4.780 eV/atom
Size of the total moment   0.10 μB/atom
Volume   574.9 Å³ per cell

Unit cell a=26.1902 b=3.5228 c=6.2630 alpha=90.00 beta=95.80 gamma=90.00
Last column: nearest neighbours and their distance in Å.
Space group C2/m (No. 12)
One atom of each set of equivalent atoms:
La: 0.0000 0.0000 0.0000  2 Pr 3.40, 2 La 3.52, 4 Ce 3.59
La: 0.1449 0.0000 0.2296  3 Pr 3.31-3.50, 2 La 3.52
Ce: 0.0000 0.5000 0.5000  4 Pr 3.39, 2 Ce 3.52, 4 La 3.59
Pr: 0.1033 0.0000 0.7123  3 La 3.31-3.40, 2 Ce 3.39, 4 Pr 3.52-3.54
Pr: 0.2211 0.5000 0.7386  1 La 3.50, 8 Pr 3.52-3.90


[2]
Material: La3CePr8
Method: DFT, PBE
State: relaxed

## Properties
DOS(E_F)   1.7470 states/eV per atom
Formation enthalpy at 0 K   11.04 kcal/mol of atoms
Electronic total energy   -4.434 eV/atom
Size of the total moment   0.00 μB/atom
Volume   929.7 Å³ per cell

Unit cell a=8.9422 b=8.9422 c=11.6269 alpha=90.00 beta=90.00 gamma=90.00
Last column: nearest neighbours and their distance in Å.
Space group I-42m (No. 121)
One atom of each set of equivalent atoms:
La: 0.0000 0.0000 0.0000  8 Pr 3.32-3.37
La: 0.0000 0.5000 0.2500  4 Pr 3.56
Ce: 0.0000 0.0000 0.5000  8 Pr 3.02-3.19
Pr: 0.1202 0.1202 0.2587  3 Pr 3.04-3.37, 1 Ce 3.19, 1 La 3.37
Pr: 0.2382 0.2382 0.5185  1 Ce 3.02, 2 Pr 3.32-3.37, 1 La 3.32